No. 1
VASP calculation (PBE) on a relaxed FeSbI2N crystal.

a b c (Å): 5.5644 5.5644 3.5353
angles (deg): 90.00 90.00 90.00
With the nearest neighbours (Å) after each atom.
Atoms (fractional coordinates):
I  0.0000  0.5000  0.0000  2 Fe 2.78
I  0.5000  0.0000  0.0000  2 Fe 2.78
Sb  0.5000  0.5000  0.5000  8 I 3.30, 2 Sb 3.54
Fe  0.0000  0.0000  0.0000  2 N 1.77
N  0.0000  0.0000  0.5000  2 Fe 1.77

Computed properties:
Final energy in eV per atom: -4.316
Magnetization in Bohr magnetons per cell: 0.315
Raw formation energy in meV per atom: 486

No. 2
VASP calculation (PBE) on a relaxed FeSbI2N crystal.

a b c (Å): 5.6242 5.6242 4.8992
angles (deg): 90.00 90.00 90.00
With the nearest neighbours (Å) after each atom.
Atoms (fractional coordinates):
I  0.0000  0.5000  0.0000  2 Fe 2.81
I  0.5000  0.0000  0.0000  2 Fe 2.81
Sb  0.0000  0.0000  0.5000  2 Fe 2.45
Fe  0.0000  0.0000  0.0000  2 Sb 2.45
N  0.5000  0.5000  0.5000  8 I 3.73, 4 Sb 3.98

Computed properties:
Final energy in eV per atom: -3.529
Magnetization in Bohr magnetons per cell: 5.100
Raw formation energy in meV per atom: 1273

No. 3
VASP calculation (PBE) on a relaxed FeSbI2N crystal.

a b c (Å): 4.8615 4.8615 4.9256
angles (deg): 90.00 90.00 90.00
With the nearest neighbours (Å) after each atom.
Atoms (fractional coordinates):
I  0.0000  0.5000  0.0000  2 N 2.43
I  0.5000  0.0000  0.0000  2 N 2.43
Sb  0.0000  0.0000  0.5000  2 N 2.46
Fe  0.5000  0.5000  0.5000  4 Sb 3.44, 8 I 3.46
N  0.0000  0.0000  0.0000  4 I 2.43, 2 Sb 2.46

Computed properties:
Final energy in eV per atom: -3.530
Magnetization in Bohr magnetons per cell: 3.774
Raw formation energy in meV per atom: 1272

No. 4
VASP calculation (PBE) on a relaxed FeSbIN2 crystal.

a b c (Å): 4.0258 4.0258 7.2872
angles (deg): 90.00 90.00 90.00
With the nearest neighbours (Å) after each atom.
Atoms (fractional coordinates):
I  0.0000  0.0000  0.5000  4 Fe 2.85
Sb  0.0000  0.0000  0.0000  4 N 2.01
Fe  0.5000  0.5000  0.5000  4 I 2.85
N  0.0000  0.5000  0.0000  2 Sb 2.01
N  0.5000  0.0000  0.0000  2 Sb 2.01

Computed properties:
Final energy in eV per atom: -4.651
Magnetization in Bohr magnetons per cell: 4.419
Raw formation energy in meV per atom: 1506

No. 5
VASP calculation (PBE) on a relaxed ScFeI2N crystal.

a b c (Å): 5.4282 5.4282 3.5221
angles (deg): 90.00 90.00 90.00
With the nearest neighbours (Å) after each atom.
Atoms (fractional coordinates):
I  0.0000  0.5000  0.0000  2 Fe 2.71
I  0.5000  0.0000  0.0000  2 Fe 2.71
Sc  0.5000  0.5000  0.5000  8 I 3.24, 2 Sc 3.52
Fe  0.0000  0.0000  0.0000  2 N 1.76
N  0.0000  0.0000  0.5000  2 Fe 1.76

Computed properties:
Final energy in eV per atom: -5.118
Magnetization in Bohr magnetons per cell: 0.729
Raw formation energy in meV per atom: 126

No. 6
VASP calculation (PBE) on a relaxed ScFeI2N crystal.

a b c (Å): 5.8685 5.8685 3.8939
angles (deg): 90.00 90.00 90.00
With the nearest neighbours (Å) after each atom.
Atoms (fractional coordinates):
I  0.0000  0.5000  0.0000  2 Sc 2.93
I  0.5000  0.0000  0.0000  2 Sc 2.93
Sc  0.0000  0.0000  0.0000  2 N 1.95
Fe  0.5000  0.5000  0.5000  8 I 3.52, 2 Fe 3.89
N  0.0000  0.0000  0.5000  2 Sc 1.95

Computed properties:
Final energy in eV per atom: -4.876
Magnetization in Bohr magnetons per cell: 3.650
Raw formation energy in meV per atom: 368

No. 7
VASP calculation (PBE) on a relaxed FeSeIN2 crystal.

a b c (Å): 3.8887 3.8887 6.7166
angles (deg): 90.00 90.00 90.00
With the nearest neighbours (Å) after each atom.
Atoms (fractional coordinates):
I  0.0000  0.0000  0.0000  4 N 1.94
Fe  0.5000  0.5000  0.5000  4 Se 2.75
Se  0.0000  0.0000  0.5000  4 Fe 2.75
N  0.0000  0.5000  0.0000  2 I 1.94
N  0.5000  0.0000  0.0000  2 I 1.94

Computed properties:
Final energy in eV per atom: -4.103
Magnetization in Bohr magnetons per cell: 3.678
Raw formation energy in meV per atom: 1926

No. 8
VASP calculation (PBE) on a relaxed FeSeIN2 crystal.

a b c (Å): 3.7522 3.7522 6.1014
angles (deg): 90.00 90.00 90.00
With the nearest neighbours (Å) after each atom.
Atoms (fractional coordinates):
I  0.0000  0.0000  0.5000  4 Se 2.65
Fe  0.0000  0.0000  0.0000  4 N 1.88
Se  0.5000  0.5000  0.5000  4 I 2.65
N  0.0000  0.5000  0.0000  2 Fe 1.88
N  0.5000  0.0000  0.0000  2 Fe 1.88

Computed properties:
Final energy in eV per atom: -4.824
Magnetization in Bohr magnetons per cell: 0.000
Raw formation energy in meV per atom: 1205

No. 9
VASP calculation (PBE) on a relaxed FeSeIN2 crystal.

a b c (Å): 3.8045 3.8045 6.5801
angles (deg): 90.00 90.00 90.00
With the nearest neighbours (Å) after each atom.
Atoms (fractional coordinates):
I  0.0000  0.0000  0.5000  4 Fe 2.69
Fe  0.5000  0.5000  0.5000  4 I 2.69
Se  0.0000  0.0000  0.0000  4 N 1.90
N  0.0000  0.5000  0.0000  2 Se 1.90
N  0.5000  0.0000  0.0000  2 Se 1.90

Computed properties:
Final energy in eV per atom: -4.281
Magnetization in Bohr magnetons per cell: 4.091
Raw formation energy in meV per atom: 1749

No. 10
VASP calculation (PBE) on a relaxed FeSeIN2 crystal.

a b c (Å): 3.8247 3.8247 5.4227
angles (deg): 90.00 90.00 90.00
With the nearest neighbours (Å) after each atom.
Atoms (fractional coordinates):
I  0.5000  0.5000  0.5000  4 Se 2.70
Fe  0.0000  0.0000  0.0000  4 N 1.91
Se  0.0000  0.0000  0.5000  4 I 2.70, 2 Fe 2.71
N  0.0000  0.5000  0.0000  2 Fe 1.91
N  0.5000  0.0000  0.0000  2 Fe 1.91

Computed properties:
Final energy in eV per atom: -4.892
Magnetization in Bohr magnetons per cell: 1.063
Raw formation energy in meV per atom: 1137

No. 11
VASP calculation (PBE) on a relaxed FeSiI2N crystal.

a b c (Å): 5.6590 5.6590 3.3738
angles (deg): 90.00 90.00 90.00
With the nearest neighbours (Å) after each atom.
Atoms (fractional coordinates):
I  0.0000  0.5000  0.0000  2 Si 2.83
I  0.5000  0.0000  0.0000  2 Si 2.83
Si  0.0000  0.0000  0.0000  2 N 1.69
Fe  0.5000  0.5000  0.5000  8 I 3.29, 2 Fe 3.37
N  0.0000  0.0000  0.5000  2 Si 1.69

Computed properties:
Final energy in eV per atom: -4.410
Magnetization in Bohr magnetons per cell: 3.301
Raw formation energy in meV per atom: 652

No. 12
VASP calculation (PBE) on a relaxed FeSiI2N crystal.

a b c (Å): 5.3708 5.3708 3.5228
angles (deg): 90.00 90.00 90.00
With the nearest neighbours (Å) after each atom.
Atoms (fractional coordinates):
I  0.0000  0.5000  0.0000  2 Fe 2.69
I  0.5000  0.0000  0.0000  2 Fe 2.69
Si  0.5000  0.5000  0.5000  8 I 3.21, 2 Si 3.52
Fe  0.0000  0.0000  0.0000  2 N 1.76
N  0.0000  0.0000  0.5000  2 Fe 1.76

Computed properties:
Final energy in eV per atom: -4.435
Magnetization in Bohr magnetons per cell: 0.039
Raw formation energy in meV per atom: 628